Entry 1:
{"formula": "CaPrHoEr", "functional": "GGA-PBE", "state": "optimized geometry", "cell": [[5.7830, 0.0000, 0.0000], [2.8915, 5.0082, 0.0000], [2.8915, 1.6694, 4.7218]], "species": ["Er", "Ca", "Pr", "Ho"], "fractional_positions": [[0.7500, 0.7500, 0.7500], [0.2500, 0.2500, 0.2500], [0.5000, 0.5000, 0.5000], [0.0000, 0.0000, 0.0000]], "magmom_total_mub_per_cell": 0.000, "e_form_ev_per_atom": 0.14}


Entry 2:
{"formula": "NaPm3Nd4S8", "functional": "GGA-PBE", "state": "optimized geometry", "cell": [[-7.2906, 3.5176, 0.3789], [-3.4774, -6.9632, -2.2678], [4.9169, 0.1627, 6.4398]], "species": ["Pm", "Nd", "Na", "S", "S", "S", "S", "Pm", "S", "Nd", "S", "Pm", "S", "Nd", "Nd", "S"], "fractional_positions": [[0.0000, 0.5000, 0.5000], [0.0000, 0.0000, 0.5000], [0.0000, 0.5000, 0.0000], [0.7489, 0.7468, 0.4978], [0.7522, 0.2543, 0.5043], [0.2478, 0.7457, 0.9979], [0.7522, 0.2543, 0.0021], [0.5000, 0.5000, 0.0000], [0.2500, 0.2543, 0.0021], [0.0000, 0.0000, 0.0000], [0.2478, 0.7457, 0.4957], [0.5000, 0.5000, 0.5000], [0.7500, 0.7457, 0.9979], [0.5000, 0.0000, 0.5000], [0.5000, 0.0000, 0.0000], [0.2511, 0.2532, 0.5022]], "magmom_total_mub_per_cell": 0.000, "e_form_raw_mev_per_atom": -1968}


Please write out number 1 again, unchanged.
{"formula": "CaPrHoEr", "functional": "GGA-PBE", "state": "optimized geometry", "cell": [[5.7830, 0.0000, 0.0000], [2.8915, 5.0082, 0.0000], [2.8915, 1.6694, 4.7218]], "species": ["Er", "Ca", "Pr", "Ho"], "fractional_positions": [[0.7500, 0.7500, 0.7500], [0.2500, 0.2500, 0.2500], [0.5000, 0.5000, 0.5000], [0.0000, 0.0000, 0.0000]], "magmom_total_mub_per_cell": 0.000, "e_form_ev_per_atom": 0.14}


What did the first record say?
{"formula": "CaPrHoEr", "functional": "GGA-PBE", "state": "optimized geometry", "cell": [[5.7830, 0.0000, 0.0000], [2.8915, 5.0082, 0.0000], [2.8915, 1.6694, 4.7218]], "species": ["Er", "Ca", "Pr", "Ho"], "fractional_positions": [[0.7500, 0.7500, 0.7500], [0.2500, 0.2500, 0.2500], [0.5000, 0.5000, 0.5000], [0.0000, 0.0000, 0.0000]], "magmom_total_mub_per_cell": 0.000, "e_form_ev_per_atom": 0.14}